[1]
Density functional theory data (GGA-PBE) for crystalline TmMgIn at its relaxed geometry.

CIF file:
```
data_TmMgIn
_chemical_formula_sum 'Tm3 Mg3 In3'
_space_group_name_H-M_alt 'P -6 2 m'
_space_group_IT_number 189
_space_group_name_Hall 'P -6 -2'
_cell_length_a 7.4473
_cell_length_b 7.4473
_cell_length_c 4.6587
_cell_angle_alpha 90.00
_cell_angle_beta 90.00
_cell_angle_gamma 120.00
loop_
_atom_site_label
_atom_site_fract_x
_atom_site_fract_y
_atom_site_fract_z
Tm1 0.0000 0.5636 0.0000
Mg1 0.0000 0.2417 0.5000
In1 0.0000 0.0000 0.0000
In2 0.3333 0.6667 0.5000
```

***

[2]
Density functional theory data (GGA-PBE) for crystalline Tm3Mg5In2 at its relaxed geometry.

CIF file:
```
data_Tm3Mg5In2
_chemical_formula_sum 'Tm12 Mg20 In8'
_space_group_name_H-M_alt 'I b a m'
_space_group_IT_number 72
_space_group_name_Hall '-I 2 2c'
_cell_length_a 12.2912
_cell_length_b 13.8209
_cell_length_c 6.1552
_cell_angle_alpha 90.00
_cell_angle_beta 90.00
_cell_angle_gamma 90.00
loop_
_atom_site_label
_atom_site_fract_x
_atom_site_fract_y
_atom_site_fract_z
Tm1 0.0000 0.0000 0.2500
Tm2 0.1283 0.2264 0.0000
Mg1 0.0000 0.5000 0.2500
Mg2 0.1091 0.3476 0.5000
Mg3 0.2429 0.5000 0.2500
In1 0.1410 0.1513 0.5000
```

***

[3]
Density functional theory data (GGA-PBE) for crystalline Tm6Mg5In at its relaxed geometry.

CIF file:
```
data_Tm6Mg5In
_chemical_formula_sum 'Tm6 Mg5 In1'
_space_group_name_H-M_alt 'P 1 2/m 1'
_space_group_IT_number 10
_cell_length_a 5.2896
_cell_length_b 7.4618
_cell_length_c 8.3778
_cell_angle_alpha 90.00
_cell_angle_beta 108.28
_cell_angle_gamma 90.00
loop_
_space_group_symop_operation_xyz
'x,y,z'
'-x,-y,-z'
'-x,y,-z'
'x,-y,z'
loop_
_atom_site_label
_atom_site_fract_x
_atom_site_fract_y
_atom_site_fract_z
Tm1 0.0000 0.2496 0.0000
Tm2 0.3341 0.2493 0.6671
Mg1 0.1657 0.0000 0.3339
Mg2 0.1697 0.5000 0.3398
Mg3 0.5000 0.0000 0.0000
In1 0.5000 0.5000 0.0000
```

***

[4]
Density functional theory data (GGA-PBE) for crystalline Tm3Mg2In4 at its relaxed geometry.

CIF file:
```
data_Tm3Mg2In4
_chemical_formula_sum 'Tm6 Mg4 In8'
_space_group_name_H-M_alt 'C 1 2/m 1'
_space_group_IT_number 12
_cell_length_a 11.0778
_cell_length_b 4.9527
_cell_length_c 9.3112
_cell_angle_alpha 90.00
_cell_angle_beta 119.91
_cell_angle_gamma 90.00
loop_
_space_group_symop_operation_xyz
'x,y,z'
'-x,-y,-z'
'-x,y,-z'
'x,-y,z'
'x+1/2,y+1/2,z'
'-x+1/2,-y+1/2,-z'
'-x+1/2,y+1/2,-z'
'x+1/2,-y+1/2,z'
loop_
_atom_site_label
_atom_site_fract_x
_atom_site_fract_y
_atom_site_fract_z
Tm1 0.0000 0.0000 0.0000
Tm2 0.1629 0.5000 0.6682
Mg1 0.1171 0.5000 0.2865
In1 0.0571 0.0000 0.3860
In2 0.2165 0.5000 0.0583
```

***

[5]
Density functional theory data (GGA-PBE) for crystalline TmMg3In2 at its relaxed geometry.

CIF file:
```
data_TmMg3In2
_chemical_formula_sum 'Tm4 Mg12 In8'
_space_group_name_H-M_alt 'C 1 2/m 1'
_space_group_IT_number 12
_cell_length_a 16.9593
_cell_length_b 4.7581
_cell_length_c 7.6690
_cell_angle_alpha 90.00
_cell_angle_beta 111.26
_cell_angle_gamma 90.00
loop_
_space_group_symop_operation_xyz
'x,y,z'
'-x,-y,-z'
'-x,y,-z'
'x,-y,z'
'x+1/2,y+1/2,z'
'-x+1/2,-y+1/2,-z'
'-x+1/2,y+1/2,-z'
'x+1/2,-y+1/2,z'
loop_
_atom_site_label
_atom_site_fract_x
_atom_site_fract_y
_atom_site_fract_z
Tm1 0.1135 0.0000 0.1796
Mg1 0.0712 0.0000 0.7020
Mg2 0.1232 0.5000 0.5005
Mg3 0.2009 0.5000 0.9190
In1 0.0212 0.5000 0.8371
In2 0.2406 0.0000 0.6622
```

***

[6]
Density functional theory data (GGA-PBE) for crystalline TmMg2In9 at its relaxed geometry.

CIF file:
```
data_TmMg2In9
_chemical_formula_sum 'Tm1 Mg2 In9'
_space_group_name_H-M_alt 'P 4/m m m'
_space_group_IT_number 123
_space_group_name_Hall '-P 4 2'
_cell_length_a 4.6314
_cell_length_b 4.6314
_cell_length_c 13.8816
_cell_angle_alpha 90.00
_cell_angle_beta 90.00
_cell_angle_gamma 90.00
loop_
_atom_site_label
_atom_site_fract_x
_atom_site_fract_y
_atom_site_fract_z
Tm1 0.0000 0.0000 0.0000
Mg1 0.0000 0.0000 0.3305
In1 0.0000 0.5000 0.1691
In2 0.0000 0.5000 0.5000
In3 0.5000 0.5000 0.0000
In4 0.5000 0.5000 0.3329
```

***

Calculated values (eV/atom) of DFT formation energy for the records, taken in order: -0.3587 -0.0403 -0.1411 -0.3456 -0.1749 -0.1324.
Calculated values (μB per atom) of magnetic moment for the records, taken in order: 0.00 0.02 0.00 0.00 0.00 0.00.